The following is a PBE calculation of a relaxed BaTiTe2 crystal, from Alexandria. Values from VASP.

```
&SYSTEM
  ibrav = 0, nat = 4, ntyp = 3
/
ATOMIC_SPECIES
Te 127.60 Te.upf
Ba 137.33 Ba.upf
Ti 47.87 Ti.upf
ATOMIC_POSITIONS crystal
Te 0.2500 0.2500 0.2500
Te 0.7500 0.7500 0.7500
Ba 0.5000 0.5000 0.5000
Ti 0.0000 0.0000 0.0000
CELL_PARAMETERS angstrom
2.9516 -0.8485 4.6136
3.1294 4.0758 2.0765
-1.4715 2.4892 4.7282
```

Summary:
DOS(E_F): 0.00 states/eV/cell
calculated total energy: -18.93 eV for the cell shown
energy above the lowest structure with this stoichiometry: 0.1957 eV/atom

---

The following is a PBE calculation of a relaxed Zr2VPt9 crystal, from Alexandria. Values from VASP.

```
&SYSTEM
  ibrav = 0, nat = 12, ntyp = 3
/
ATOMIC_SPECIES
Zr 91.22 Zr.upf
V 50.94 V.upf
Pt 195.08 Pt.upf
ATOMIC_POSITIONS crystal
Zr 0.0000 0.0000 0.3293
Zr 0.0000 0.0000 0.6707
V 0.0000 0.0000 0.0000
Pt 0.5000 0.5000 0.0000
Pt 0.5000 0.5000 0.3303
Pt 0.5000 0.5000 0.6697
Pt 0.5000 0.0000 0.1603
Pt 0.5000 0.0000 0.5000
Pt 0.5000 0.0000 0.8397
Pt 0.0000 0.5000 0.1603
Pt 0.0000 0.5000 0.5000
Pt 0.0000 0.5000 0.8397
CELL_PARAMETERS angstrom
4.0107 0.0000 0.0000
0.0000 4.0107 0.0000
0.0000 0.0000 12.0409
```

Summary:
DOS(E_F): 6.83 states/eV/cell
calculated total energy: -90.42 eV for the cell shown